Material: TmUAl
Method: DFT, PBE
State: relaxed

Calculated values
**Energy**: -6.410 eV per atom
**SG**: Cmce (64)
**Magnetization**: 0.6 μB/f.u.
**Calculated formation energy**: 8.7 kJ per mole of atoms

Cell: 6.5295 5.9592 8.6887 Å, 90.00 90.00 123.22°
Each line ends with the local moment (μB).
Atoms (fractional coordinates):
U 0.6038 0.2077 0.5695  0.54
U 0.8962 0.7923 0.0695  0.54
U 0.3962 0.7923 0.4305  0.54
U 0.1038 0.2077 0.9305  0.54
Tm 0.3808 0.2616 0.2500  0.04
Tm 0.1192 0.7384 0.7500  0.04
Tm 0.6192 0.7384 0.7500  0.04
Tm 0.8808 0.2616 0.2500  0.04
Al 0.8816 0.7632 0.4218  0.00
Al 0.6184 0.2368 0.9218  0.00
Al 0.1184 0.2368 0.5782  0.00
Al 0.3816 0.7632 0.0782  0.00

***

Material: TmAl3V
Method: DFT, PBE
State: relaxed

Calculated values
**Energy**: -5.114 eV per atom
**SG**: P6_3/mmc (194)
**Magnetization**: 0.0 μB/f.u.
**Calculated formation energy**: -14.5 kJ per mole of atoms

Cell: 5.4752 6.3315 6.3315 Å, 120.00 90.00 90.00°
Atoms (fractional coordinates):
Tm 0.2500 0.3333 0.6667
Tm 0.7500 0.6667 0.3333
Al 0.2500 0.8074 0.1926
Al 0.7500 0.1926 0.8074
Al 0.2500 0.8074 0.6149
Al 0.7500 0.1926 0.3851
Al 0.2500 0.3851 0.1926
Al 0.7500 0.6149 0.8074
V 0.0000 0.0000 0.0000
V 0.5000 0.0000 0.0000

***

Material: TmAl2V
Method: DFT, PBE
State: relaxed

Calculated values
**Energy**: -5.437 eV per atom
**SG**: P4/mmm (123)
**Magnetization**: 0.4 μB/f.u.
**Calculated formation energy**: -16.2 kJ per mole of atoms

Cell: 3.3557 3.3557 6.4703 Å, 90.00 90.00 90.00°
Each line ends with the local moment (μB).
Atoms (fractional coordinates):
Tm 0.5000 0.5000 0.5000  -0.05
Al 0.0000 0.0000 0.8016  0.00
Al 0.0000 0.0000 0.1984  0.00
V 0.5000 0.5000 0.0000  0.40

***

Material: TmAl4V
Method: DFT, PBE
State: relaxed

Calculated values
**Energy**: -4.985 eV per atom
**SG**: F-43m (216)
**Magnetization**: 0.0 μB/f.u.
**Calculated formation energy**: -21.7 kJ per mole of atoms

Cell: 5.2752 5.2752 5.2752 Å, 60.00 60.00 60.00°
Atoms (fractional coordinates):
Tm 0.2500 0.2500 0.2500
Al 0.6255 0.6255 0.1236
Al 0.6255 0.1236 0.6255
Al 0.6255 0.6255 0.6255
Al 0.1236 0.6255 0.6255
V 0.0000 0.0000 0.0000

***

Material: TmAl2V
Method: DFT, PBE
State: relaxed

Calculated values
**Energy**: -5.184 eV per atom
**SG**: R-3m (166)
**Magnetization**: 0.0 μB/f.u.
**Calculated formation energy**: 8.1 kJ per mole of atoms

Cell: 2.9833 2.9833 9.7473 Å, 81.20 81.20 60.00°
Atoms (fractional coordinates):
Tm 0.5000 0.5000 0.5000
Al 0.7397 0.7397 0.7808
Al 0.2603 0.2603 0.2192
V 0.0000 0.0000 0.0000

***

Material: Tm6Al43W4
Method: DFT, PBE
State: relaxed

Calculated values
**Energy**: -4.790 eV per atom
**SG**: P6_3/mcm (193)
**Magnetization**: 0.0 μB/f.u.
**Calculated formation energy**: -26.0 kJ per mole of atoms

Cell: 10.9982 10.9982 17.5969 Å, 90.00 90.00 120.00°
Atoms (fractional coordinates):
Tm 0.5319 0.5319 0.5957
Tm 0.0000 0.4681 0.5957
Tm 0.4681 0.0000 0.5957
Tm 0.4681 0.4681 0.4043
Tm 0.0000 0.5319 0.4043
Tm 0.5319 0.0000 0.4043
Tm 0.4681 0.4681 0.0957
Tm 0.0000 0.5319 0.0957
Tm 0.5319 0.0000 0.0957
Tm 0.5319 0.5319 0.9043
Tm 0.0000 0.4681 0.9043
Tm 0.4681 0.0000 0.9043
Al 0.7629 0.1576 0.6631
Al 0.3946 0.2371 0.6631
Al 0.8424 0.6054 0.6631
Al 0.1576 0.7629 0.6631
Al 0.2371 0.3946 0.6631
Al 0.6054 0.8424 0.6631
Al 0.2371 0.8424 0.3369
Al 0.6054 0.7629 0.3369
Al 0.1576 0.3946 0.3369
Al 0.8424 0.2371 0.3369
Al 0.7629 0.6054 0.3369
Al 0.3946 0.1576 0.3369
Al 0.2371 0.8424 0.1631
Al 0.6054 0.7629 0.1631
Al 0.1576 0.3946 0.1631
Al 0.8424 0.2371 0.1631
Al 0.7629 0.6054 0.1631
Al 0.3946 0.1576 0.1631
Al 0.7629 0.1576 0.8369
Al 0.3946 0.2371 0.8369
Al 0.8424 0.6054 0.8369
Al 0.1576 0.7629 0.8369
Al 0.2371 0.3946 0.8369
Al 0.6054 0.8424 0.8369
Al 0.1603 0.1603 0.1144
Al 0.0000 0.8397 0.1144
Al 0.8397 0.0000 0.1144
Al 0.8397 0.8397 0.8856
Al 0.0000 0.1603 0.8856
Al 0.1603 0.0000 0.8856
Al 0.8397 0.8397 0.6144
Al 0.0000 0.1603 0.6144
Al 0.1603 0.0000 0.6144
Al 0.1603 0.1603 0.3856
Al 0.0000 0.8397 0.3856
Al 0.8397 0.0000 0.3856
Al 0.2549 0.2549 0.5306
Al 0.0000 0.7451 0.5306
Al 0.7451 0.0000 0.5306
Al 0.7451 0.7451 0.4694
Al 0.0000 0.2549 0.4694
Al 0.2549 0.0000 0.4694
Al 0.7451 0.7451 0.0306
Al 0.0000 0.2549 0.0306
Al 0.2549 0.0000 0.0306
Al 0.2549 0.2549 0.9694
Al 0.0000 0.7451 0.9694
Al 0.7451 0.0000 0.9694
Al 0.5524 0.1472 0.7500
Al 0.5948 0.4476 0.7500
Al 0.8528 0.4052 0.7500
Al 0.1472 0.5524 0.7500
Al 0.4476 0.5948 0.7500
Al 0.4052 0.8528 0.7500
Al 0.4476 0.8528 0.2500
Al 0.4052 0.5524 0.2500
Al 0.1472 0.5948 0.2500
Al 0.8528 0.4476 0.2500
Al 0.5524 0.4052 0.2500
Al 0.5948 0.1472 0.2500
Al 0.7536 0.2464 0.5000
Al 0.4928 0.2464 0.5000
Al 0.7536 0.5072 0.5000
Al 0.2464 0.7536 0.5000
Al 0.2464 0.4928 0.5000
Al 0.5072 0.7536 0.5000
Al 0.2464 0.7536 0.0000
Al 0.5072 0.7536 0.0000
Al 0.2464 0.4928 0.0000
Al 0.7536 0.2464 0.0000
Al 0.7536 0.5072 0.0000
Al 0.4928 0.2464 0.0000
Al 0.6667 0.3333 0.6251
Al 0.3333 0.6667 0.6251
Al 0.3333 0.6667 0.3749
Al 0.6667 0.3333 0.3749
Al 0.3333 0.6667 0.1251
Al 0.6667 0.3333 0.1251
Al 0.6667 0.3333 0.8749
Al 0.3333 0.6667 0.8749
Al 0.1484 0.1484 0.7500
Al 0.0000 0.8516 0.7500
Al 0.8516 0.0000 0.7500
Al 0.8516 0.8516 0.2500
Al 0.0000 0.1484 0.2500
Al 0.1484 0.0000 0.2500
W 0.7283 0.7283 0.7500
W 0.0000 0.2717 0.7500
W 0.2717 0.0000 0.7500
W 0.2717 0.2717 0.2500
W 0.0000 0.7283 0.2500
W 0.7283 0.0000 0.2500
W 0.0000 0.0000 0.5000
W 0.0000 0.0000 0.0000